No. 1
This record from the Alexandria database describes a geometry-optimized CdIn2Sn2 structure. The functional is PBE-GGA.

Calculated values
The value obtained for the total energy is -2.7457 eV per atom. The value obtained for the calculated volume is 28.94 Å³/atom. The value obtained for the formation energy from the elements is 134 meV/atom. The space group is I4/mmm (139).

a b c (Å): 4.3602 4.3602 8.2121
angles (deg): 74.61 74.61 90.00
Atoms (fractional coordinates):
In  0.7500  0.2500  0.5000
Cd  0.0000  0.0000  0.0000
In  0.2500  0.7500  0.5000
Sn  0.5998  0.5998  0.8004
Sn  0.4002  0.4002  0.1996

=====

No. 2
This record from the Alexandria database describes a geometry-optimized Cd3In12Sn5 structure. The functional is PBE-GGA.

Calculated values
The value obtained for the total energy is -2.6407 eV per atom. The value obtained for the calculated volume is 31.70 Å³/atom. The value obtained for the formation energy from the elements is 140 meV/atom. The space group is Ia-3d (230).

a b c (Å): 14.8793 14.8793 14.8793
angles (deg): 109.47 109.47 109.47
Atoms (fractional coordinates):
Cd  0.6250  0.2500  0.3750
In  0.1724  0.0642  0.9372
Cd  0.6250  0.3750  0.7500
In  0.6270  0.0628  0.2352
Sn  0.7500  0.1250  0.8750
In  0.2352  0.5628  0.6270
In  0.8276  0.9358  0.0628
In  0.2648  0.8730  0.9372
Cd  0.1250  0.8750  0.7500
Sn  0.2500  0.3750  0.6250
In  0.6082  0.8730  0.4358
Sn  0.1250  0.7500  0.3750
Cd  0.2500  0.1250  0.3750
Sn  0.8750  0.6250  0.7500
Sn  0.2500  0.8750  0.1250
In  0.3918  0.1270  0.5642
Sn  0.3750  0.2500  0.1250
In  0.1082  0.1724  0.2352
In  0.2352  0.6724  0.1082
Sn  0.5000  0.5000  0.5000
In  0.5642  0.6270  0.3918
In  0.7648  0.4372  0.3730
In  0.4372  0.6724  0.0642
Sn  0.1250  0.3750  0.2500
Sn  0.6250  0.7500  0.8750
In  0.6724  0.4372  0.5642
In  0.1270  0.3918  0.0642
In  0.8276  0.8918  0.2648
Sn  0.0000  0.0000  0.0000
In  0.3730  0.9372  0.7648
In  0.6724  0.2352  0.6082
In  0.9358  0.1082  0.8730
In  0.1724  0.1082  0.7352
In  0.8918  0.8276  0.7648
In  0.3730  0.4358  0.1082
In  0.3276  0.7648  0.3918
Sn  0.7500  0.6250  0.3750
Cd  0.3750  0.6250  0.2500
Cd  0.8750  0.1250  0.2500
Sn  0.5000  0.0000  0.0000
In  0.4372  0.7648  0.8730
Sn  0.0000  0.0000  0.5000
In  0.8918  0.0642  0.6270
In  0.7352  0.1270  0.0628
Sn  0.3750  0.1250  0.7500
Cd  0.8750  0.7500  0.1250
In  0.9372  0.5642  0.1724
Sn  0.6250  0.8750  0.2500
Sn  0.0000  0.5000  0.0000
In  0.9372  0.3730  0.2648
In  0.9358  0.8276  0.5628
Cd  0.2500  0.6250  0.8750
In  0.1270  0.7352  0.5628
In  0.7648  0.3276  0.8918
Sn  0.5000  0.5000  0.0000
In  0.5642  0.9372  0.6724
In  0.4358  0.3730  0.6082
In  0.0642  0.8918  0.1270
Cd  0.3750  0.7500  0.6250
Cd  0.7500  0.8750  0.6250
Sn  0.5000  0.0000  0.5000
In  0.2648  0.3918  0.8276
In  0.0628  0.6270  0.7352
In  0.5628  0.2352  0.1270
In  0.6082  0.7352  0.6724
In  0.7352  0.6082  0.1724
In  0.8730  0.2648  0.4372
In  0.0642  0.1724  0.4372
In  0.6270  0.5642  0.8918
In  0.1082  0.9358  0.3730
In  0.4358  0.0628  0.3276
Cd  0.1250  0.2500  0.8750
Sn  0.0000  0.5000  0.5000
In  0.0628  0.4358  0.8276
Sn  0.8750  0.2500  0.6250
In  0.3918  0.2648  0.3276
In  0.3276  0.5628  0.4358
Cd  0.7500  0.3750  0.1250
In  0.8730  0.6082  0.9358
In  0.5628  0.3276  0.9358

=====

No. 3
This record from the Alexandria database describes a geometry-optimized Cd12In16Sn structure. The functional is PBE-GGA.

Calculated values
The value obtained for the total energy is -2.0028 eV per atom. The value obtained for the calculated volume is 25.61 Å³/atom. The value obtained for the formation energy from the elements is 25 meV/atom. The space group is Cm (8).

a b c (Å): 9.9046 9.9046 9.8571
angles (deg): 109.49 109.49 109.61
Atoms (fractional coordinates):
In  0.3366  0.3366  0.3380
Cd  0.1927  0.3787  0.9999
In  0.3099  0.3099  0.7151
Cd  0.6226  0.6226  0.8153
Cd  0.1884  0.9995  0.3763
In  0.6959  0.4081  0.0002
Cd  0.6219  0.8124  0.6268
In  0.0002  0.4094  0.6911
In  0.5902  0.2796  0.5939
Sn  0.5945  0.5945  0.2888
Cd  0.3715  0.0013  0.1873
Cd  0.9995  0.1884  0.3763
In  0.6872  0.9999  0.4058
Cd  0.0013  0.3715  0.1873
In  0.0009  0.6660  0.9998
In  0.9999  0.6872  0.4058
Cd  0.3787  0.1927  0.9999
Cd  0.8141  0.1849  0.8086
In  0.2796  0.5902  0.5939
In  0.3072  0.7158  0.3092
Cd  0.1849  0.8141  0.8086
Cd  0.8115  0.8115  0.1895
Cd  0.8124  0.6219  0.6268
In  0.4094  0.0002  0.6911
In  0.0007  0.0007  0.6596
In  0.7158  0.3072  0.3092
In  0.9985  0.9985  0.9962
In  0.4081  0.6959  0.0002
In  0.6660  0.0009  0.9998

=====

No. 4
This record from the Alexandria database describes a geometry-optimized Cd7In2Sn2 structure. The functional is PBE-GGA.

Calculated values
The value obtained for the total energy is -1.7610 eV per atom. The value obtained for the calculated volume is 25.46 Å³/atom. The value obtained for the formation energy from the elements is 47 meV/atom. The space group is C2/m (12).

a b c (Å): 5.9260 7.4627 7.4627
angles (deg): 86.93 112.49 112.49
Atoms (fractional coordinates):
Cd  0.5000  0.0000  0.0000
Cd  0.6618  0.9327  0.4183
In  0.6673  0.3893  0.3893
In  0.3327  0.6106  0.6106
Sn  0.0000  0.1554  0.8446
Cd  0.6618  0.4183  0.9327
Sn  0.0000  0.8446  0.1554
Cd  0.3382  0.5817  0.0673
Cd  0.3382  0.0673  0.5817
Cd  0.0561  0.2818  0.2818
Cd  0.9439  0.7182  0.7182

=====

No. 5
This record from the Alexandria database describes a geometry-optimized Cd5In2Sn structure. The functional is PBE-GGA.

Calculated values
The value obtained for the total energy is -1.6936 eV per atom. The value obtained for the calculated volume is 25.21 Å³/atom. The value obtained for the formation energy from the elements is 63 meV/atom. The space group is I4/mmm (139).

a b c (Å): 6.4853 6.4848 6.4853
angles (deg): 103.38 103.39 122.49
Atoms (fractional coordinates):
Cd  0.2781  0.7774  0.0000
In  0.2778  0.7780  0.5000
Cd  0.2779  0.2776  0.0000
Cd  0.2779  0.2781  0.5004
Sn  0.7784  0.7782  0.0000
Cd  0.7775  0.7777  0.4996
Cd  0.7777  0.2779  0.0000
In  0.7777  0.2780  0.5000

=====

No. 6
This record from the Alexandria database describes a geometry-optimized Cd12In6Sn structure. The functional is PBE-GGA.

Calculated values
The value obtained for the total energy is -1.5740 eV per atom. The value obtained for the calculated volume is 26.51 Å³/atom. The value obtained for the formation energy from the elements is 79 meV/atom. The space group is R-3 (148).

a b c (Å): 8.1004 8.1004 8.1004
angles (deg): 78.59 78.59 78.59
Atoms (fractional coordinates):
Cd  0.6538  0.5188  0.1734
In  0.2714  0.6725  0.1312
Cd  0.4812  0.8266  0.3462
Cd  0.3462  0.4812  0.8266
In  0.1312  0.2714  0.6725
Cd  0.5188  0.1734  0.6538
Cd  0.3725  0.1361  0.0565
Cd  0.0565  0.3725  0.1361
In  0.3275  0.8688  0.7286
Sn  0.0000  0.0000  0.0000
Cd  0.6275  0.8639  0.9435
Cd  0.9435  0.6275  0.8639
In  0.8688  0.7286  0.3275
In  0.7286  0.3275  0.8688
Cd  0.1361  0.0565  0.3725
Cd  0.8266  0.3462  0.4812
Cd  0.8639  0.9435  0.6275
In  0.6725  0.1312  0.2714
Cd  0.1734  0.6538  0.5188

=====

No. 7
This record from the Alexandria database describes a geometry-optimized Cd2In6Sn structure. The functional is PBE-GGA.

Calculated values
The value obtained for the total energy is -2.3176 eV per atom. The value obtained for the calculated volume is 30.05 Å³/atom. The value obtained for the formation energy from the elements is 156 meV/atom. The space group is C2/m (12).

a b c (Å): 5.3451 7.1128 7.1128
angles (deg): 89.69 89.80 89.80
Atoms (fractional coordinates):
In  0.5000  0.3352  0.6648
In  0.7655  0.9507  0.6130
Cd  0.7274  0.2664  0.2664
Cd  0.2726  0.7336  0.7336
In  0.2345  0.3870  0.0493
In  0.2345  0.0493  0.3870
In  0.5000  0.6648  0.3352
In  0.7655  0.6130  0.9507
Sn  0.0000  0.0000  0.0000

=====

No. 8
This record from the Alexandria database describes a geometry-optimized CdIn2Sn structure. The functional is PBE-GGA.

Calculated values
The value obtained for the total energy is -2.5621 eV per atom. The value obtained for the calculated volume is 26.34 Å³/atom. The value obtained for the formation energy from the elements is 37 meV/atom. The space group is P4/mmm (123).

a b c (Å): 5.1695 4.5150 4.5150
angles (deg): 90.00 90.00 90.00
Atoms (fractional coordinates):
Sn  0.5000  0.0000  0.0000
In  0.0000  0.0000  0.5000
Cd  0.5000  0.5000  0.5000
In  0.0000  0.5000  0.0000

=====

Number 1: N(E_F) 0.353 states/eV/atom. Number 2: N(E_F) 0.510 states/eV/atom. Number 3: N(E_F) 0.364 states/eV/atom. Number 4: N(E_F) 0.307 states/eV/atom. Number 5: N(E_F) 0.373 states/eV/atom. Number 6: N(E_F) 0.460 states/eV/atom. Number 7: N(E_F) 0.442 states/eV/atom. Number 8: N(E_F) 0.339 states/eV/atom.